DFT (GGA-PBE) results for Pr4Sm5Sn2 after structural relaxation.

Cell and atoms, written as POSCAR:
```
Pr4Sm5Sn2
1.0
-1.1084 -3.6484 3.7236
3.6362 -1.2209 3.7002
-4.9552 9.8001 11.9414
Sm Pr Sn
5 4 2
Cartesian
-1.5442 3.0795 6.3718
-1.2137 2.4654 9.6826
-0.8832 1.8513 12.9934
-3.7918 7.5450 13.8922
1.3644 -2.6142 5.4730
-2.2464 4.5372 15.2193
-0.1809 0.3935 4.1459
0.0470 -0.0186 7.6241
-2.4744 4.9493 11.7411
0.3813 -0.6402 10.9286
-2.8087 5.5710 8.4366
```

Calculated values
Formation enthalpy at 0 K ... 6.7 kJ/mol of atoms
Total moment ... 0.068 μB per atom
Energy ... -4.541 eV/atom